TaCd3O | GGA-PBE | optimized geometry

```
TaCd3O
1.0
5.488 0.000 0.000
0.000 5.488 0.000
0.000 0.000 5.488
Ta Cd O
1 3 1
direct
0.000 0.000 0.000 Ta
0.000 0.000 0.500 Cd
0.000 0.500 0.000 Cd
0.500 0.000 0.000 Cd
0.500 0.500 0.500 O
```

Computed properties:
**E above lowest polymorph**: 1078 meV per atom

Ta2CdO | GGA-PBE | optimized geometry

```
Ta2CdO
1.0
6.344 0.000 0.000
0.000 6.344 0.000
0.000 0.000 6.344
Ta Cd O
8 4 4
direct
0.250 0.250 0.250 Ta
0.250 0.250 0.750 Ta
0.250 0.750 0.250 Ta
0.250 0.750 0.750 Ta
0.750 0.250 0.250 Ta
0.750 0.250 0.750 Ta
0.750 0.750 0.250 Ta
0.750 0.750 0.750 Ta
0.000 0.000 0.000 Cd
0.000 0.500 0.500 Cd
0.500 0.000 0.500 Cd
0.500 0.500 0.000 Cd
0.000 0.000 0.500 O
0.000 0.500 0.000 O
0.500 0.000 0.000 O
0.500 0.500 0.500 O
```

Computed properties:
**E above lowest polymorph**: 564 meV per atom

Ta2CdO | GGA-PBE | optimized geometry

```
Ta2CdO
1.0
5.221 0.000 0.000
0.000 5.221 0.000
0.000 0.000 11.931
Ta Cd O
8 4 4
direct
0.080 0.250 0.125 Ta
0.250 0.580 0.375 Ta
0.250 0.920 0.875 Ta
0.420 0.250 0.625 Ta
0.580 0.750 0.625 Ta
0.750 0.080 0.875 Ta
0.750 0.420 0.375 Ta
0.920 0.750 0.125 Ta
0.000 0.000 0.500 Cd
0.000 0.500 0.750 Cd
0.500 0.000 0.250 Cd
0.500 0.500 0.000 Cd
0.000 0.000 0.000 O
0.000 0.500 0.250 O
0.500 0.000 0.750 O
0.500 0.500 0.500 O
```

Computed properties:
**E above lowest polymorph**: 0 meV per atom

Ta3CdO | GGA-PBE | optimized geometry

```
Ta3CdO
1.0
4.968 0.000 0.000
0.000 4.968 0.000
0.000 0.000 4.968
Ta Cd O
3 1 1
direct
0.000 0.000 0.500 Ta
0.000 0.500 0.000 Ta
0.500 0.000 0.000 Ta
0.000 0.000 0.000 Cd
0.500 0.500 0.500 O
```

Computed properties:
**E above lowest polymorph**: 3122 meV per atom

TbTaCd2O6 | GGA-PBE | optimized geometry

```
TbTaCd2O6
1.0
5.631 0.000 0.000
0.000 5.774 0.000
-5.570 0.000 8.208
Tb Ta Cd O
2 2 4 12
direct
0.000 0.000 0.000 Tb
0.000 0.500 0.500 Tb
0.500 0.000 0.500 Ta
0.500 0.500 0.000 Ta
0.253 0.042 0.748 Cd
0.253 0.458 0.248 Cd
0.747 0.542 0.752 Cd
0.747 0.958 0.252 Cd
0.157 0.062 0.267 O
0.157 0.438 0.767 O
0.255 0.671 0.054 O
0.255 0.829 0.554 O
0.404 0.204 0.067 O
0.404 0.296 0.567 O
0.596 0.704 0.433 O
0.596 0.796 0.933 O
0.745 0.171 0.446 O
0.745 0.329 0.946 O
0.843 0.562 0.233 O
0.843 0.938 0.733 O
```

TaCdTeO5 | GGA-PBE | optimized geometry

```
TaCdTeO5
1.0
3.302 -4.829 0.000
3.302 4.829 0.000
-2.733 0.000 7.406
Ta Cd Te O
2 2 2 10
direct
0.000 0.000 0.000 Ta
0.000 0.000 0.500 Ta
0.310 0.690 0.750 Cd
0.690 0.310 0.250 Cd
0.339 0.661 0.250 Te
0.661 0.339 0.750 Te
0.011 0.989 0.250 O
0.197 0.784 0.990 O
0.216 0.803 0.510 O
0.328 0.336 0.097 O
0.336 0.328 0.597 O
0.664 0.672 0.403 O
0.672 0.664 0.903 O
0.784 0.197 0.490 O
0.803 0.216 0.010 O
0.989 0.011 0.750 O
```

TaCdTe2O8 | GGA-PBE | optimized geometry

```
TaCdTe2O8
1.0
3.547 -3.422 0.000
3.547 3.422 0.000
-0.206 0.000 6.853
Ta Cd Te O
1 1 2 8
direct
0.000 0.000 0.000 Ta
0.000 0.000 0.500 Cd
0.483 0.483 0.250 Te
0.517 0.517 0.750 Te
0.171 0.781 0.216 O
0.219 0.829 0.784 O
0.283 0.283 0.042 O
0.319 0.319 0.470 O
0.681 0.681 0.530 O
0.717 0.717 0.958 O
0.781 0.171 0.216 O
0.829 0.219 0.784 O
```

ThTaCdO6 | GGA-PBE | optimized geometry

```
ThTaCdO6
1.0
5.114 0.000 0.000
0.000 5.114 0.000
0.000 0.000 10.268
Th Ta Cd O
2 2 2 12
direct
0.000 0.000 0.000 Th
0.500 0.500 0.500 Th
0.000 0.000 0.668 Ta
0.500 0.500 0.168 Ta
0.000 0.000 0.330 Cd
0.500 0.500 0.830 Cd
0.183 0.183 0.810 O
0.184 0.184 0.517 O
0.222 0.222 0.161 O
0.278 0.722 0.661 O
0.316 0.684 0.017 O
0.317 0.683 0.310 O
0.683 0.317 0.310 O
0.684 0.316 0.017 O
0.722 0.278 0.661 O
0.778 0.778 0.161 O
0.816 0.816 0.517 O
0.817 0.817 0.810 O
```

TaTlCd2O6 | GGA-PBE | optimized geometry

```
TaTlCd2O6
1.0
5.620 0.000 0.000
0.000 5.735 0.000
-5.578 0.000 8.236
Ta Tl Cd O
2 2 4 12
direct
0.000 0.000 0.000 Ta
0.000 0.500 0.500 Ta
0.500 0.000 0.500 Tl
0.500 0.500 0.000 Tl
0.249 0.043 0.754 Cd
0.249 0.457 0.254 Cd
0.751 0.543 0.746 Cd
0.751 0.957 0.246 Cd
0.090 0.208 0.426 O
0.090 0.292 0.926 O
0.249 0.673 0.449 O
0.249 0.827 0.949 O
0.344 0.069 0.229 O
0.344 0.431 0.729 O
0.656 0.569 0.271 O
0.656 0.931 0.771 O
0.751 0.173 0.051 O
0.751 0.327 0.551 O
0.910 0.708 0.074 O
0.910 0.792 0.574 O
```

TaTlCdO4 | GGA-PBE | optimized geometry

```
TaTlCdO4
1.0
6.389 0.000 0.000
0.000 6.293 0.000
-1.483 0.000 7.147
Ta Tl Cd O
2 2 2 8
direct
0.180 0.250 0.112 Ta
0.820 0.750 0.888 Ta
0.235 0.750 0.416 Tl
0.765 0.250 0.584 Tl
0.347 0.750 0.935 Cd
0.653 0.250 0.065 Cd
0.030 0.750 0.741 O
0.047 0.250 0.867 O
0.374 0.016 0.153 O
0.374 0.484 0.153 O
0.626 0.516 0.847 O
0.626 0.984 0.847 O
0.953 0.750 0.133 O
0.970 0.250 0.259 O
```

UTaCd2O8 | GGA-PBE | optimized geometry

```
UTaCd2O8
1.0
3.494 -3.705 0.000
3.494 3.705 0.000
0.000 0.000 6.606
U Ta Cd O
1 1 2 8
direct
0.000 0.000 0.000 U
0.000 0.000 0.500 Ta
0.500 0.500 0.259 Cd
0.500 0.500 0.741 Cd
0.172 0.828 0.260 O
0.172 0.828 0.740 O
0.280 0.280 0.500 O
0.286 0.286 0.000 O
0.714 0.714 0.000 O
0.720 0.720 0.500 O
0.828 0.172 0.260 O
0.828 0.172 0.740 O
```

Raw formation energy for every record listed, in sequence, given in eV/atom: 1.561, 0.569, 0.004, 2.773, -2.313, -1.652, -1.475, -2.472, -1.561, -1.774, -2.138.